# 1
Sr2HoGaCu2O7 | SCAN | PBEsol geometry

Structure (POSCAR):
```
Sr2HoGaCu2O7
1.0
-11.403 2.710 2.662
11.403 -2.710 2.662
11.403 2.710 -2.662
Sr Ho Ga Cu O
4 2 2 4 14
Direct
0.015 0.150 0.165
0.015 0.350 0.364
0.985 0.650 0.636
0.985 0.850 0.835
0.002 0.002 0.000
0.002 0.502 0.500
0.390 0.709 0.181
0.528 0.209 0.819
0.502 0.573 0.070
0.502 0.932 0.428
0.503 0.073 0.572
0.503 0.432 0.930
0.003 0.189 0.691
0.003 0.317 0.812
0.003 0.690 0.186
0.003 0.811 0.314
0.215 0.854 0.861
0.484 0.200 0.635
0.484 0.349 0.784
0.498 0.311 0.309
0.498 0.689 0.686
0.505 0.190 0.188
0.505 0.817 0.814
0.565 0.700 0.216
0.565 0.849 0.365
0.993 0.354 0.139
```

Values from the calculation:
final energy = -429.68 eV for the cell shown
DOS(E_F) = 0.113 states/eV/atom
size of the total moment = 0.00 μB/cell
uncorrected formation energy = -2380 meV/atom
V = 329 Å³ per cell

---

# 2
BeCoNi2 | SCAN | PBEsol geometry

Structure (POSCAR):
```
BeCoNi2
1.0
2.476 0.000 0.000
0.000 2.476 0.000
0.000 0.000 6.180
Be Co Ni
1 1 2
Direct
0.000 0.000 0.000
0.500 0.500 0.230
0.000 0.000 0.498
0.500 0.500 0.782
```

Values from the calculation:
final energy = -54.63 eV for the cell shown
DOS(E_F) = 0.616 states/eV/atom
size of the total moment = 2.51 μB/cell
V = 38 Å³ per cell

---

# 3
Ba2SrV2O8 | SCAN | PBEsol geometry

Structure (POSCAR):
```
Ba2SrV2O8
1.0
2.848 1.644 6.965
-2.848 1.644 6.965
0.000 -3.288 6.965
Ba Sr V O
2 1 2 8
Direct
0.000 0.000 0.000
0.204 0.204 0.204
0.410 0.410 0.410
0.613 0.613 0.613
0.795 0.795 0.795
0.440 0.932 0.932
0.478 0.478 0.968
0.478 0.968 0.478
0.530 0.530 0.530
0.877 0.877 0.877
0.932 0.440 0.932
0.932 0.932 0.440
0.968 0.478 0.478
```

Values from the calculation:
final energy = -226.87 eV for the cell shown
DOS(E_F) = 0.000 states/eV/atom
size of the total moment = 0.00 μB/cell
uncorrected formation energy = -3128 meV/atom
V = 196 Å³ per cell

---

# 4
CaTa2Tc | SCAN | PBEsol geometry

Structure (POSCAR):
```
CaTa2Tc
1.0
2.792 -4.815 0.000
2.792 4.815 0.000
0.000 0.000 2.704
Ca Ta Tc
1 2 1
Direct
0.000 0.000 0.000
0.000 0.500 0.500
0.500 0.000 0.500
0.500 0.500 0.000
```

Values from the calculation:
final energy = -175.14 eV for the cell shown
DOS(E_F) = 1.097 states/eV/atom
size of the total moment = 0.00 μB/cell
V = 73 Å³ per cell

---

# 5
ScOs | SCAN | PBEsol geometry

Structure (POSCAR):
```
ScOs
1.0
1.572 -2.377 0.000
1.572 2.377 0.000
0.000 0.000 4.277
Sc Os
1 1
Direct
0.000 0.000 0.000
0.500 0.500 0.500
```

Values from the calculation:
final energy = -86.54 eV for the cell shown
DOS(E_F) = 0.733 states/eV/atom
size of the total moment = 0.00 μB/cell
V = 32 Å³ per cell

---

# 6
SrSi3Au | SCAN | PBEsol geometry

Structure (POSCAR):
```
SrSi3Au
1.0
-2.199 2.199 4.910
2.199 -2.199 4.910
2.199 2.199 -4.910
Sr Si Au
1 3 1
Direct
0.000 0.000 0.000
0.243 0.743 0.500
0.619 0.619 0.000
0.743 0.243 0.500
0.366 0.366 0.000
```

Values from the calculation:
final energy = -123.72 eV for the cell shown
DOS(E_F) = 0.216 states/eV/atom
size of the total moment = 0.00 μB/cell
uncorrected formation energy = -448 meV/atom
V = 95 Å³ per cell

---

- What is the size of the total moment in the first record?
  0.00 μB/cell

---

- What is the formula in the second record?
  BeCoNi2

---

- Look up the final energy of the first one.
  -429.68 eV for the cell shown

---

- Number 5 is which compound?
  ScOs